No. 1
# InB (GGA-PBE, optimized geometry)
# Total magnetization   0.00 μB/f.u.
# Offset from the most stable computed form   233.0 meV/atom
# Theoretical density   5.6 Mg/m³
# Total DFT energy (no corrections)   -4.1118 eV per atom
# Energy of formation from the pure elements   57.52 kJ per mole of atoms
data_InB
_cell_length_a 6.2495
_cell_length_b 6.2495
_cell_length_c 3.8250
_cell_angle_alpha 90.00
_cell_angle_beta 90.00
_cell_angle_gamma 90.00
_space_group_name_H-M_alt 'P 42/m n m'
_space_group_IT_number 136
_space_group_name_Hall '-P 4n 2n'
loop_
_atom_site_label
_atom_site_type_symbol
_atom_site_fract_x
_atom_site_fract_y
_atom_site_fract_z
_atom_site_occupancy
In1 In 0.2380 0.2380 0.0000 1
B1 B 0.0913 0.0913 0.5000 1



No. 2
# PaTl6F12 (GGA-PBE, optimized geometry)
# Total magnetization   0.00 μB/f.u.
# Theoretical density   6.1 Mg/m³
# Total DFT energy (no corrections)   -4.8293 eV per atom
# Formation energy from raw total energies   -2400 meV/atom
data_PaTl6F12
_cell_length_a 11.9399
_cell_length_b 11.9399
_cell_length_c 11.1534
_cell_angle_alpha 90.00
_cell_angle_beta 90.00
_cell_angle_gamma 120.00
_space_group_name_H-M_alt 'R -3'
_space_group_IT_number 148
_space_group_name_Hall '-R 3'
loop_
_atom_site_label
_atom_site_type_symbol
_atom_site_fract_x
_atom_site_fract_y
_atom_site_fract_z
_atom_site_occupancy
Pa1 Pa 0.0000 0.0000 0.0000 1
Tl1 Tl 0.0241 0.7888 0.6298 1
F1 F 0.0251 0.8179 0.3988 1
F2 F 0.0283 0.8711 0.8912 1



No. 3
# Pm6ErZn2 (GGA-PBE, optimized geometry)
# Total magnetization   0.00 μB/f.u.
# Theoretical density   7.3 Mg/m³
# Total DFT energy (no corrections)   -4.0935 eV per atom
# Energy of formation from the pure elements   -13.15 kJ per mole of atoms
data_Pm6ErZn2
_cell_length_a 12.7211
_cell_length_b 3.6953
_cell_length_c 11.9992
_cell_angle_alpha 90.00
_cell_angle_beta 109.72
_cell_angle_gamma 90.00
_space_group_name_H-M_alt 'C 1 2/m 1'
_space_group_IT_number 12
_space_group_name_Hall '-C 2y'
loop_
_atom_site_label
_atom_site_type_symbol
_atom_site_fract_x
_atom_site_fract_y
_atom_site_fract_z
_atom_site_occupancy
Pm1 Pm 0.0275 0.0000 0.3257 1
Pm2 Pm 0.1878 0.5000 0.5917 1
Pm3 Pm 0.1891 0.5000 0.8762 1
Er1 Er 0.0000 0.0000 0.0000 1
Zn1 Zn 0.1436 0.5000 0.1940 1



No. 4
# BeW (GGA-PBE, optimized geometry)
# Total magnetization   0.00 μB/f.u.
# Offset from the most stable computed form   354.2 meV/atom
# Theoretical density   12.8 Mg/m³
# Total DFT energy (no corrections)   -8.2132 eV per atom
# Energy of formation from the pure elements   12.21 kJ per mole of atoms
data_BeW
_cell_length_a 3.1871
_cell_length_b 4.0565
_cell_length_c 7.7491
_cell_angle_alpha 90.00
_cell_angle_beta 90.00
_cell_angle_gamma 90.00
_space_group_name_H-M_alt 'I m m a'
_space_group_IT_number 74
_space_group_name_Hall '-I 2b 2'
loop_
_atom_site_label
_atom_site_type_symbol
_atom_site_fract_x
_atom_site_fract_y
_atom_site_fract_z
_atom_site_occupancy
Be1 Be 0.0000 0.2500 0.1533 1
W1 W 0.0000 0.2500 0.6131 1



No. 5
# FeNi (GGA-PBE, optimized geometry)
# Total magnetization   3.53 μB/f.u.
# Theoretical density   7.6 Mg/m³
# Total DFT energy (no corrections)   -6.7594 eV per atom
# Energy of formation from the pure elements   34.99 kJ per mole of atoms
data_FeNi
_cell_length_a 2.4770
_cell_length_b 4.2567
_cell_length_c 4.7192
_cell_angle_alpha 90.00
_cell_angle_beta 90.00
_cell_angle_gamma 90.00
_space_group_name_H-M_alt 'I m m m'
_space_group_IT_number 71
_space_group_name_Hall '-I 2 2'
loop_
_atom_site_label
_atom_site_type_symbol
_atom_site_fract_x
_atom_site_fract_y
_atom_site_fract_z
_atom_site_occupancy
Fe1 Fe 0.0000 0.0000 0.0000 1
Ni1 Ni 0.0000 0.0000 0.5000 1



No. 6
# BaAsN (GGA-PBE, optimized geometry)
# Total magnetization   0.00 μB/f.u.
# Offset from the most stable computed form   22.1 meV/atom
# Theoretical density   4.6 Mg/m³
# Total DFT energy (no corrections)   -5.6155 eV per atom
# Formation energy from raw total energies   -650 meV/atom
data_BaAsN
_cell_length_a 9.8148
_cell_length_b 7.8013
_cell_length_c 4.8702
_cell_angle_alpha 90.00
_cell_angle_beta 117.67
_cell_angle_gamma 90.00
_space_group_name_H-M_alt 'C 1 2/m 1'
_space_group_IT_number 12
_space_group_name_Hall '-C 2y'
loop_
_atom_site_label
_atom_site_type_symbol
_atom_site_fract_x
_atom_site_fract_y
_atom_site_fract_z
_atom_site_occupancy
Ba1 Ba 0.2376 0.0000 0.2267 1
As1 As 0.0000 0.1582 0.5000 1
N1 N 0.0449 0.5000 0.1276 1



No. 7
# TcSeBr2N (GGA-PBE, optimized geometry)
# Total magnetization   4.93 μB/f.u.
# Offset from the most stable computed form   0.0 meV/atom
# Theoretical density   5.8 Mg/m³
# Total DFT energy (no corrections)   -3.6991 eV per atom
# Formation energy from raw total energies   1405 meV/atom
data_TcSeBr2N
_cell_length_a 4.5215
_cell_length_b 4.5215
_cell_length_c 4.9073
_cell_angle_alpha 90.00
_cell_angle_beta 90.00
_cell_angle_gamma 90.00
_space_group_name_H-M_alt 'P 4/m m m'
_space_group_IT_number 123
_space_group_name_Hall '-P 4 2'
loop_
_atom_site_label
_atom_site_type_symbol
_atom_site_fract_x
_atom_site_fract_y
_atom_site_fract_z
_atom_site_occupancy
Tc1 Tc 0.0000 0.0000 0.0000 1
Se1 Se 0.5000 0.5000 0.0000 1
Br1 Br 0.0000 0.5000 0.5000 1
N1 N 0.5000 0.5000 0.5000 1



No. 8
# TlFeS2 (GGA-PBE, optimized geometry)
# Total magnetization   0.44 μB/f.u.
# Theoretical density   6.3 Mg/m³
# Total DFT energy (no corrections)   -5.0177 eV per atom
# Formation energy from raw total energies   -247 meV/atom
data_TlFeS2
_cell_length_a 3.6957
_cell_length_b 3.6957
_cell_length_c 12.5068
_cell_angle_alpha 90.00
_cell_angle_beta 90.00
_cell_angle_gamma 90.00
_space_group_name_H-M_alt 'I -4 m 2'
_space_group_IT_number 119
_space_group_name_Hall 'I -4 -2'
loop_
_atom_site_label
_atom_site_type_symbol
_atom_site_fract_x
_atom_site_fract_y
_atom_site_fract_z
_atom_site_occupancy
Tl1 Tl 0.0000 0.0000 0.0000 1
Fe1 Fe 0.0000 0.5000 0.2500 1
S1 S 0.0000 0.0000 0.3348 1